<1>
# CsGa3As3

An optimized crystal structure of CsGa3As3 (PBE, the Alexandria database).

Output
space-group type = Pm-3n, No. 223
DOS(E_F) = 1.2 states/eV/f.u.
calculated volume = 27.05 A^3/atom
mass density = 5.0 g/cm3

Structure (POSCAR):
```
CsGa3As3
1.0
7.235 0.000 0.000
0.000 7.235 0.000
0.000 0.000 7.235
Cs Ga As
2 6 6
direct
0.000 0.000 0.000
0.500 0.500 0.500
0.000 0.250 0.500
0.000 0.750 0.500
0.250 0.500 0.000
0.500 0.000 0.250
0.500 0.000 0.750
0.750 0.500 0.000
0.000 0.500 0.250
0.000 0.500 0.750
0.250 0.000 0.500
0.500 0.250 0.000
0.500 0.750 0.000
0.750 0.000 0.500
```

<2>
# CsGa3As3

An optimized crystal structure of CsGa3As3 (PBE, the Alexandria database).

Output
space-group type = R-3, No. 148
DOS(E_F) = 2.0 states/eV/f.u.
calculated volume = 30.26 A^3/atom
mass density = 4.4 g/cm3

Structure (POSCAR):
```
CsGa3As3
1.0
3.716 2.146 8.855
-3.716 2.146 8.855
0.000 -4.291 8.855
Cs Ga As
2 6 6
direct
0.167 0.167 0.167
0.833 0.833 0.833
0.036 0.370 0.705
0.295 0.964 0.630
0.370 0.705 0.036
0.630 0.295 0.964
0.705 0.036 0.370
0.964 0.630 0.295
0.065 0.727 0.396
0.273 0.604 0.935
0.396 0.065 0.727
0.604 0.935 0.273
0.727 0.396 0.065
0.935 0.273 0.604
```

<1> wins, 0.019 eV/atom ahead of the next structure.

<1>
# Cs3Ga2As4

An optimized crystal structure of Cs3Ga2As4 (PBE, the Alexandria database).

Output
space-group type = C2/c, No. 15
DOS(E_F) = 3.3 states/eV/f.u.
calculated volume = 35.68 A^3/atom
mass density = 4.3 g/cm3

Structure (POSCAR):
```
Cs3Ga2As4
1.0
7.366 -5.749 0.000
7.366 5.749 0.000
-1.803 0.000 7.582
Cs Ga As
6 4 8
direct
0.086 0.914 0.750
0.250 0.515 0.434
0.485 0.750 0.066
0.515 0.250 0.934
0.750 0.485 0.566
0.914 0.086 0.250
0.098 0.323 0.021
0.323 0.098 0.521
0.677 0.902 0.479
0.902 0.677 0.979
0.120 0.287 0.687
0.163 0.530 0.897
0.287 0.120 0.187
0.470 0.837 0.603
0.530 0.163 0.397
0.713 0.880 0.813
0.837 0.470 0.103
0.880 0.713 0.313
```

<2>
# Cs3Ga2As4

An optimized crystal structure of Cs3Ga2As4 (PBE, the Alexandria database).

Output
space-group type = C2/m, No. 12
DOS(E_F) = 1.4 states/eV/f.u.
calculated volume = 33.57 A^3/atom
mass density = 4.6 g/cm3

Structure (POSCAR):
```
Cs3Ga2As4
1.0
9.115 -2.133 0.000
9.115 2.133 0.000
-3.352 0.000 7.769
Cs Ga As
3 2 4
direct
0.000 0.000 0.000
0.152 0.152 0.764
0.848 0.848 0.236
0.329 0.329 0.572
0.671 0.671 0.428
0.202 0.202 0.292
0.479 0.479 0.618
0.521 0.521 0.382
0.798 0.798 0.708
```

<2> wins, 0.039 eV/atom ahead of the next structure.